Record 1
A relaxed AlInB2 crystal. Source: the Alexandria database, functional PBE.

```
data_AlInB2
_space_group_name_H-M_alt 'I -4 2 d'
_space_group_IT_number 122
_space_group_name_Hall 'I -4 2bw'
_cell_length_a 4.1089
_cell_length_b 4.1089
_cell_length_c 13.8067
_cell_angle_alpha 90.00
_cell_angle_beta 90.00
_cell_angle_gamma 90.00
loop_
_atom_site_label
_atom_site_type_symbol
_atom_site_fract_x
_atom_site_fract_y
_atom_site_fract_z
_atom_site_occupancy
Al1 Al 0.0000 0.0000 0.0000 1
In1 In 0.0000 0.0000 0.5000 1
B1 B 0.1445 0.2500 0.1250 1
```

Its energy above the most stable polymorph in this dataset is 0 meV per atom. For the density of states at the Fermi level, the calculation gives 0.000 states/eV per atom. As for the formation energy: 784 meV/atom.


Record 2
A relaxed NaNdTmPb crystal. Source: the Alexandria database, functional PBE.

```
data_NaNdTmPb
_space_group_name_H-M_alt 'F -4 3 m'
_space_group_IT_number 216
_space_group_name_Hall 'F -4 2 3'
_cell_length_a 7.7175
_cell_length_b 7.7175
_cell_length_c 7.7175
_cell_angle_alpha 90.00
_cell_angle_beta 90.00
_cell_angle_gamma 90.00
loop_
_atom_site_label
_atom_site_type_symbol
_atom_site_fract_x
_atom_site_fract_y
_atom_site_fract_z
_atom_site_occupancy
Na1 Na 0.0000 0.0000 0.0000 1
Nd1 Nd 0.2500 0.2500 0.2500 1
Tm1 Tm 0.2500 0.2500 0.7500 1
Pb1 Pb 0.0000 0.0000 0.5000 1
```

For the density of states at the Fermi level, the calculation gives 0.955 states/eV per atom. As for the formation energy: -138 meV/atom.